A relaxed Ba2TlCu2 crystal. Source: Alexandria via LeMat-Bulk, functional GGA-PBE.

Values from the calculation:
As for the symmetry: I4/mmm (139). As for the total energy: -14.40 eV/cell. For the formation enthalpy at 0 K, the calculation gives 0.001 eV/atom. The total moment comes out at 0.0 μB/cell.

Cell lengths 3.740, 3.740, 10.881 Å; angles 80.10, 80.10, 90.00 degrees
Fractional coordinates of all 5 atoms:
Tl: 0.000 0.000 0.000
Ba: 0.380 0.380 0.241
Ba: 0.620 0.620 0.759
Cu: 0.750 0.250 0.500
Cu: 0.250 0.750 0.500


A relaxed Ba2Zn6CuIr crystal. Source: Alexandria via LeMat-Bulk, functional GGA-PBE.

Values from the calculation:
As for the symmetry: C2/m (12). As for the total energy: -26.59 eV/cell. For the formation enthalpy at 0 K, the calculation gives -0.215 eV/atom. The total moment comes out at 0.0 μB/cell.

Cell lengths 6.900, 6.901, 6.893 Å; angles 59.94, 59.95, 90.05 degrees
Fractional coordinates of all 10 atoms:
Ba: 0.750 0.250 0.500
Ba: 0.250 0.750 0.500
Zn: 0.246 0.246 0.508
Zn: 0.754 0.754 0.000
Zn: 0.247 0.754 0.000
Zn: 0.753 0.246 0.000
Zn: 0.246 0.246 0.000
Zn: 0.754 0.754 0.492
Cu: 0.000 0.000 0.000
Ir: 0.500 0.500 0.000


Which value of formation enthalpy at 0 K does entry 2 give?
-0.215 eV/atom